The following is a PBE-GGA calculation of an optimized crystal structure of SrY2NiAu, from the Alexandria database.

The structure belongs to space group P4/mmm (No. 123); the cell edges are 5.5222, 5.5222 and 5.0196 Å and the angles 90.00°, 90.00° and 90.00°. The asymmetric unit holds Sr at (0.0000, 0.0000, 0.0000), Y at (0.0000, 0.5000, 0.5000), Ni at (0.5000, 0.5000, 0.0000) and Au at (0.5000, 0.5000, 0.5000).

The density of states at the Fermi level is 3.56 states/eV per cell. The calculation puts the total energy at -23.066 eV/f.u. The formation enthalpy at 0 K comes out at 0.120 eV per atom. For the density, the calculation gives 5.65 g/cm3.

***

The following is a PBE-GGA calculation of an optimized crystal structure of ThMnTl2S4, from the Alexandria database.

The structure belongs to space group Imma (No. 74); the cell edges are 8.2088, 8.5261 and 11.8333 Å and the angles 90.00°, 90.00° and 90.00°. The asymmetric unit holds Th at (0.0000, 0.0000, 0.0000), Mn at (0.2500, 0.2500, 0.2500), Tl at (0.0000, 0.0000, 0.5000), Tl at (0.2500, 0.2500, 0.7500), S at (0.0000, 0.0477, 0.2342) and S at (0.2204, 0.2500, 0.0154).

The calculation puts the total energy at -45.267 eV/f.u. For the density, the calculation gives 6.61 g/cm3. The uncorrected formation energy is -0.9294 eV/atom.

***

The following is a PBE-GGA calculation of an optimized crystal structure of Tl2In12Bi7, from the Alexandria database.

The structure belongs to space group P-6 (No. 174); the cell edges are 12.6840, 12.6840 and 4.7918 Å and the angles 90.00°, 90.00° and 120.00°. The asymmetric unit holds Tl at (0.0000, 0.0000, 0.0000), Tl at (0.3333, 0.6667, 0.5000), In at (0.0664, 0.3042, 0.0000), In at (0.1176, 0.7480, 0.5000), In at (0.3988, 0.2708, 0.0000), In at (0.5060, 0.1110, 0.5000), Bi at (0.0959, 0.5623, 0.0000), Bi at (0.2434, 0.1111, 0.5000) and Bi at (0.6667, 0.3333, 0.0000).

The density of states at the Fermi level is 9.05 states/eV per cell. The calculation puts the total energy at -64.063 eV/f.u. The formation enthalpy at 0 K comes out at 0.033 eV per atom. For the density, the calculation gives 8.08 g/cm3.

***

What did the first record say?
The following is a PBE-GGA calculation of an optimized crystal structure of SrY2NiAu, from the Alexandria database.

The structure belongs to space group P4/mmm (No. 123); the cell edges are 5.5222, 5.5222 and 5.0196 Å and the angles 90.00°, 90.00° and 90.00°. The asymmetric unit holds Sr at (0.0000, 0.0000, 0.0000), Y at (0.0000, 0.5000, 0.5000), Ni at (0.5000, 0.5000, 0.0000) and Au at (0.5000, 0.5000, 0.5000).

The density of states at the Fermi level is 3.56 states/eV per cell. The calculation puts the total energy at -23.066 eV/f.u. The formation enthalpy at 0 K comes out at 0.120 eV per atom. For the density, the calculation gives 5.65 g/cm3.